# 1
Entry from Alexandria: an optimized crystal structure of Th2MgRh9 (PBE).

M_tot	0.0	μB per formula unit
space group	No. 166
raw total energy	-7.33	eV/atom

Unit cell a=5.2559 b=5.2559 c=9.4338 alpha=73.83 beta=73.83 gamma=60.00
With the nearest neighbours (Å) after each atom.
Sites, in units of the cell vectors:
Th (0.1349, 0.1349, 0.5954)  9 Rh 2.99-3.15
Rh (0.0804, 0.5823, 0.7550)  7 Rh 2.62-2.74
Th (0.8651, 0.8651, 0.4046)  9 Rh 2.99-3.15
Rh (0.5823, 0.5823, 0.7550)  7 Rh 2.62-2.74
Mg (0.0000, 0.0000, 0.0000)  6 Rh 3.03
Rh (0.5000, 0.5000, 0.5000)  6 Rh 2.74
Rh (0.9196, 0.4177, 0.2450)  7 Rh 2.62-2.74
Rh (0.3328, 0.3328, 0.0016)  6 Rh 2.65-2.68
Rh (0.4177, 0.9196, 0.2450)  7 Rh 2.62-2.74
Rh (0.6672, 0.6672, 0.9984)  6 Rh 2.65-2.68
Rh (0.4177, 0.4177, 0.2450)  7 Rh 2.62-2.74
Rh (0.5823, 0.0804, 0.7550)  7 Rh 2.62-2.74

---

# 2
Entry from Alexandria: an optimized crystal structure of Th2MgRh (PBE).

M_tot	0.0	μB per formula unit
space group	No. 123
raw total energy	-6.28	eV/atom

Unit cell a=3.7205 b=3.7205 c=7.3255 alpha=90.00 beta=90.00 gamma=90.00
With the nearest neighbours (Å) after each atom.
Sites, in units of the cell vectors:
Th (0.0000, 0.0000, 0.7798)  4 Rh 3.09, 1 Th 3.23, 4 Mg 3.34
Rh (0.5000, 0.5000, 0.0000)  8 Th 3.09
Mg (0.5000, 0.5000, 0.5000)  8 Th 3.34, 2 Rh 3.66, 4 Mg 3.72
Th (0.0000, 0.0000, 0.2202)  4 Rh 3.09, 1 Th 3.23, 4 Mg 3.34

---

# 3
Entry from Alexandria: an optimized crystal structure of ThMg3Rh4 (PBE).

M_tot	0.0	μB per formula unit
space group	No. 166
raw total energy	-5.88	eV/atom

Unit cell a=4.5916 b=4.5916 c=7.9700 alpha=73.26 beta=73.26 gamma=60.00
With the nearest neighbours (Å) after each atom.
Sites, in units of the cell vectors:
Mg (0.5000, 0.5000, 0.5000)  8 Rh 2.73-2.83
Mg (0.2411, 0.2411, 0.2768)  7 Rh 2.66-2.85
Rh (0.3788, 0.3788, 0.8637)  4 Mg 2.73-2.85, 3 Th 2.84
Mg (0.7589, 0.7589, 0.7232)  7 Rh 2.66-2.85
Th (0.0000, 0.0000, 0.0000)  8 Rh 2.78-2.84
Rh (0.8767, 0.8767, 0.3699)  7 Mg 2.66-2.83, 1 Th 2.78
Rh (0.1233, 0.1233, 0.6301)  7 Mg 2.66-2.83, 1 Th 2.78
Rh (0.6212, 0.6212, 0.1363)  4 Mg 2.73-2.85, 3 Th 2.84

---

# 4
Entry from Alexandria: an optimized crystal structure of ThMg5Rh6 (PBE).

M_tot	0.0	μB per formula unit
space group	No. 65
raw total energy	-5.59	eV/atom

Unit cell a=4.5266 b=6.4447 c=7.1122 alpha=90.00 beta=108.55 gamma=90.00
With the nearest neighbours (Å) after each atom.
Sites, in units of the cell vectors:
Rh (0.1671, 0.2540, 0.3342)  7 Mg 2.69-2.80, 1 Th 2.79
Mg (0.6676, 0.5000, 0.3357)  8 Rh 2.73-2.76
Rh (0.8329, 0.7460, 0.6658)  7 Mg 2.69-2.80, 1 Th 2.79
Rh (0.5000, 0.7399, 0.0000)  6 Mg 2.74-2.89, 2 Th 2.82
Mg (0.6745, 0.0000, 0.3494)  8 Rh 2.69-2.89
Rh (0.8330, 0.2540, 0.6658)  7 Mg 2.69-2.80, 1 Th 2.79
Mg (0.3324, 0.5000, 0.6643)  8 Rh 2.73-2.76
Rh (0.5000, 0.2601, 0.0000)  6 Mg 2.74-2.89, 2 Th 2.82
Mg (0.0000, 0.5000, 0.0000)  8 Rh 2.74-2.76
Rh (0.1670, 0.7460, 0.3342)  7 Mg 2.69-2.80, 1 Th 2.79
Mg (0.3255, 0.0000, 0.6506)  8 Rh 2.69-2.89
Th (0.0000, 0.0000, 0.0000)  8 Rh 2.79-2.82

---

# 5
Entry from Alexandria: an optimized crystal structure of Th2MgRh9 (PBE).

M_tot	0.0	μB per formula unit
space group	No. 123
raw total energy	-7.42	eV/atom

Unit cell a=4.0820 b=4.0820 c=11.9979 alpha=90.00 beta=90.00 gamma=90.00
With the nearest neighbours (Å) after each atom.
Sites, in units of the cell vectors:
Rh (0.5000, 0.0000, 0.1505)  2 Mg 2.73, 8 Rh 2.73-2.93, 2 Th 2.93
Rh (0.0000, 0.5000, 0.1505)  8 Rh 2.73-2.93, 2 Mg 2.73, 2 Th 2.93
Th (0.0000, 0.0000, 0.3259)  12 Rh 2.89-2.93
Rh (0.5000, 0.0000, 0.8495)  2 Mg 2.73, 8 Rh 2.73-2.93, 2 Th 2.93
Rh (0.0000, 0.5000, 0.8495)  8 Rh 2.73-2.93, 2 Mg 2.73, 2 Th 2.93
Th (0.0000, 0.0000, 0.6741)  12 Rh 2.89-2.93
Rh (0.5000, 0.5000, 0.6741)  4 Th 2.89, 8 Rh 2.92-2.93
Rh (0.5000, 0.5000, 0.0000)  8 Rh 2.73, 4 Mg 2.89
Rh (0.5000, 0.5000, 0.3259)  4 Th 2.89, 8 Rh 2.92-2.93
Mg (0.0000, 0.0000, 0.0000)  12 Rh 2.73-2.89
Rh (0.0000, 0.5000, 0.5000)  8 Rh 2.89-2.92, 4 Th 2.92
Rh (0.5000, 0.0000, 0.5000)  8 Rh 2.89-2.92, 4 Th 2.92

---

# 6
Entry from Alexandria: an optimized crystal structure of Th2MgRh4 (PBE).

M_tot	0.0	μB per formula unit
space group	No. 139
raw total energy	-6.90	eV/atom

Unit cell a=4.6371 b=4.6371 c=7.6450 alpha=107.65 beta=107.65 gamma=90.00
With the nearest neighbours (Å) after each atom.
Sites, in units of the cell vectors:
Th (0.6452, 0.6452, 0.2903)  1 Rh 2.47
Mg (0.0000, 0.0000, 0.0000)  6 Rh 2.32-2.43
Th (0.3548, 0.3548, 0.7097)  1 Rh 2.47
Rh (0.8242, 0.8242, 0.6483)  1 Mg 2.43, 1 Th 2.47
Rh (0.1758, 0.1758, 0.3517)  1 Mg 2.43, 1 Th 2.47
Rh (0.5000, 0.0000, 0.0000)  2 Mg 2.32
Rh (0.0000, 0.5000, 0.0000)  2 Mg 2.32

---

# 7
Entry from Alexandria: an optimized crystal structure of Th2MgRh (PBE).

M_tot	0.0	μB per formula unit
space group	No. 166
raw total energy	-5.97	eV/atom

Unit cell a=3.8415 b=3.8415 c=10.6586 alpha=79.62 beta=79.62 gamma=60.00
With the nearest neighbours (Å) after each atom.
Sites, in units of the cell vectors:
Th (0.1112, 0.1112, 0.6664)  3 Rh 2.82
Mg (0.0000, 0.0000, 0.0000)  2 Th 3.48, 6 Mg 3.84
Th (0.8888, 0.8888, 0.3336)  3 Rh 2.82
Rh (0.5000, 0.5000, 0.5000)  6 Th 2.82

---

# 8
Entry from Alexandria: an optimized crystal structure of ThMg11Rh (PBE).

M_tot	0.0	μB per formula unit
space group	No. 12
raw total energy	-2.59	eV/atom

Unit cell a=5.6408 b=7.6294 c=7.7158 alpha=82.51 beta=68.56 gamma=69.11
With the nearest neighbours (Å) after each atom.
Sites, in units of the cell vectors:
Mg (0.4950, 0.7798, 0.2026)  1 Rh 2.79, 6 Mg 2.90-3.12
Mg (0.0000, 0.5000, 0.0000)  2 Rh 2.82, 8 Mg 2.90-2.98
Mg (0.5000, 0.0000, 0.5000)  8 Mg 2.82-3.12
Rh (0.5000, 0.5000, 0.0000)  10 Mg 2.79-2.91
Mg (0.6976, 0.7798, 0.7974)  1 Rh 2.79, 6 Mg 2.90-3.12
Mg (0.6366, 0.3619, 0.3330)  1 Rh 2.91, 6 Mg 2.98-3.23
Mg (0.0000, 0.0000, 0.5000)  8 Mg 2.82-3.12
Mg (0.3024, 0.2202, 0.2026)  1 Rh 2.79, 6 Mg 2.90-3.12
Mg (0.0304, 0.6381, 0.3330)  1 Rh 2.91, 6 Mg 2.98-3.23
Th (0.0000, 0.0000, 0.0000)  18 Mg 3.50-3.86, 2 Rh 3.85
Mg (0.5050, 0.2202, 0.7974)  1 Rh 2.79, 6 Mg 2.90-3.12
Mg (0.9696, 0.3619, 0.6670)  1 Rh 2.91, 6 Mg 2.98-3.23
Mg (0.3634, 0.6381, 0.6670)  1 Rh 2.91, 6 Mg 2.98-3.23

---

# 9
Entry from Alexandria: an optimized crystal structure of ThMg2Rh4 (PBE).

M_tot	0.0	μB per formula unit
space group	No. 139
raw total energy	-6.07	eV/atom

Unit cell a=5.5279 b=5.5279 c=5.5279 alpha=114.19 beta=107.16 gamma=107.16
With the nearest neighbours (Å) after each atom.
Sites, in units of the cell vectors:
Mg (0.5000, 0.5000, 0.0000)  8 Rh 2.76, 2 Mg 3.00
Th (0.0000, 0.0000, 0.0000)  8 Rh 2.76
Rh (0.5000, 0.0000, 0.0000)  4 Mg 2.76, 2 Th 2.76, 2 Rh 3.00
Rh (0.0000, 0.0000, 0.5000)  4 Mg 2.76, 2 Th 2.76, 2 Rh 3.00
Rh (0.5000, 0.5000, 0.5000)  4 Mg 2.76, 2 Th 2.76, 2 Rh 3.00
Rh (0.0000, 0.5000, 0.0000)  2 Th 2.76, 4 Mg 2.76, 2 Rh 3.00
Mg (0.5000, 0.0000, 0.5000)  8 Rh 2.76, 2 Mg 3.00

---

# 10
Entry from Alexandria: an optimized crystal structure of ThMg4Rh2 (PBE).

M_tot	0.0	μB per formula unit
space group	No. 136
raw total energy	-4.58	eV/atom

Unit cell a=3.7612 b=8.7750 c=8.7750 alpha=90.00 beta=90.00 gamma=90.00
With the nearest neighbours (Å) after each atom.
Sites, in units of the cell vectors:
Mg (0.0000, 0.1037, 0.3370)  3 Rh 2.77-2.80, 5 Mg 2.90-3.05
Mg (0.0000, 0.3370, 0.1037)  3 Rh 2.77-2.80, 5 Mg 2.90-3.05
Rh (0.0000, 0.1652, 0.8348)  6 Mg 2.77-2.80, 2 Th 2.78
Rh (0.5000, 0.6652, 0.6652)  6 Mg 2.77-2.80, 2 Th 2.78
Th (0.5000, 0.0000, 0.0000)  4 Rh 2.78
Rh (0.0000, 0.8348, 0.1652)  6 Mg 2.77-2.80, 2 Th 2.78
Mg (0.5000, 0.8370, 0.3963)  3 Rh 2.77-2.80, 5 Mg 2.90-3.05
Rh (0.5000, 0.3348, 0.3348)  6 Mg 2.77-2.80, 2 Th 2.78
Mg (0.5000, 0.3963, 0.8370)  3 Rh 2.77-2.80, 5 Mg 2.90-3.05
Mg (0.0000, 0.8963, 0.6630)  3 Rh 2.77-2.80, 5 Mg 2.90-3.05
Mg (0.5000, 0.1630, 0.6037)  3 Rh 2.77-2.80, 5 Mg 2.90-3.05
Mg (0.5000, 0.6037, 0.1630)  3 Rh 2.77-2.80, 5 Mg 2.90-3.05
Th (0.0000, 0.5000, 0.5000)  4 Rh 2.78
Mg (0.0000, 0.6630, 0.8963)  3 Rh 2.77-2.80, 5 Mg 2.90-3.05

---

# 11
Entry from Alexandria: an optimized crystal structure of Th3MgRh3 (PBE).

M_tot	0.0	μB per formula unit
space group	No. 62
raw total energy	-7.29	eV/atom

Unit cell a=3.9616 b=11.8320 c=14.3213 alpha=90.00 beta=90.00 gamma=90.00
With the nearest neighbours (Å) after each atom.
Sites, in units of the cell vectors:
Mg (0.7500, 0.9772, 0.2103)  3 Rh 2.66-2.96
Rh (0.7500, 0.9368, 0.8909)  2 Mg 2.66, 4 Th 2.74-2.86
Rh (0.2500, 0.2628, 0.8563)  6 Th 2.93-3.01, 1 Mg 3.00
Th (0.2500, 0.7624, 0.2934)  5 Rh 2.74-2.93
Mg (0.2500, 0.5228, 0.7103)  3 Rh 2.66-2.96
Th (0.7500, 0.6494, 0.5156)  5 Rh 2.85-3.01
Mg (0.7500, 0.4772, 0.2897)  3 Rh 2.66-2.96
Th (0.2500, 0.8506, 0.0156)  5 Rh 2.85-3.01
Rh (0.2500, 0.7628, 0.6437)  6 Th 2.93-3.01, 1 Mg 3.00
Th (0.7500, 0.2376, 0.7066)  5 Rh 2.74-2.93
Th (0.2500, 0.0595, 0.3973)  5 Rh 2.86-2.95
Rh (0.7500, 0.2372, 0.3563)  6 Th 2.93-3.01, 1 Mg 3.00
Mg (0.2500, 0.0228, 0.7897)  3 Rh 2.66-2.96
Th (0.2500, 0.5595, 0.1027)  5 Rh 2.86-2.95
Rh (0.2500, 0.5632, 0.3909)  2 Mg 2.66, 4 Th 2.74-2.86
Rh (0.2500, 0.6150, 0.9026)  5 Th 2.86-2.94, 1 Mg 2.96
Th (0.2500, 0.2624, 0.2066)  5 Rh 2.74-2.93
Rh (0.7500, 0.8850, 0.4026)  5 Th 2.86-2.94, 1 Mg 2.96
Rh (0.7500, 0.3850, 0.0974)  5 Th 2.86-2.94, 1 Mg 2.96
Th (0.2500, 0.3506, 0.4844)  5 Rh 2.85-3.01
Th (0.7500, 0.9405, 0.6027)  5 Rh 2.86-2.95
Rh (0.7500, 0.4368, 0.6091)  2 Mg 2.66, 4 Th 2.74-2.86
Rh (0.7500, 0.7372, 0.1437)  6 Th 2.93-3.01, 1 Mg 3.00
Th (0.7500, 0.1494, 0.9844)  5 Rh 2.85-3.01
Th (0.7500, 0.7376, 0.7934)  5 Rh 2.74-2.93
Rh (0.2500, 0.0632, 0.1091)  2 Mg 2.66, 4 Th 2.74-2.86
Th (0.7500, 0.4405, 0.8973)  5 Rh 2.86-2.95
Rh (0.2500, 0.1150, 0.5974)  5 Th 2.86-2.94, 1 Mg 2.96

---

# 12
Entry from Alexandria: an optimized crystal structure of ThMg2Rh9 (PBE).

M_tot	0.0	μB per formula unit
space group	No. 123
raw total energy	-6.76	eV/atom

Unit cell a=4.0222 b=4.0222 c=11.6378 alpha=90.00 beta=90.00 gamma=90.00
With the nearest neighbours (Å) after each atom.
Sites, in units of the cell vectors:
Mg (0.0000, 0.0000, 0.6582)  12 Rh 2.72-2.84
Rh (0.0000, 0.5000, 0.1839)  8 Rh 2.72-2.94, 2 Mg 2.72, 2 Th 2.94
Rh (0.5000, 0.0000, 0.8161)  8 Rh 2.72-2.94, 2 Mg 2.72, 2 Th 2.94
Rh (0.5000, 0.5000, 0.3410)  8 Rh 2.72-2.73, 4 Mg 2.84
Rh (0.0000, 0.5000, 0.5000)  4 Mg 2.73, 8 Rh 2.73-2.84
Mg (0.0000, 0.0000, 0.3418)  12 Rh 2.72-2.84
Rh (0.5000, 0.5000, 0.0000)  4 Th 2.84, 8 Rh 2.94
Rh (0.5000, 0.0000, 0.1839)  8 Rh 2.72-2.94, 2 Mg 2.72, 2 Th 2.94
Rh (0.0000, 0.5000, 0.8161)  8 Rh 2.72-2.94, 2 Mg 2.72, 2 Th 2.94
Th (0.0000, 0.0000, 0.0000)  12 Rh 2.84-2.94
Rh (0.5000, 0.0000, 0.5000)  4 Mg 2.73, 8 Rh 2.73-2.84
Rh (0.5000, 0.5000, 0.6590)  8 Rh 2.72-2.73, 4 Mg 2.84